[1]
Density functional theory data (PBE-GGA) for crystalline TmThSc5 at its relaxed geometry.

Cell lengths 6.1267, 6.1267, 10.6563 Å; angles 103.18, 103.18, 96.27 degrees
Atoms (fractional coordinates):
Tm1 0.0000 0.5000 0.0000
Tm2 0.5000 0.0000 0.5000
Th1 0.2416 0.7584 0.7500
Th2 0.7584 0.2416 0.2500
Sc1 0.0477 0.1965 0.6620
Sc2 0.1965 0.0477 0.1620
Sc3 0.2326 0.4253 0.4634
Sc4 0.4111 0.5889 0.2500
Sc5 0.4253 0.2326 0.9634
Sc6 0.5747 0.7674 0.0366
Sc7 0.5889 0.4111 0.7500
Sc8 0.7674 0.5747 0.5366
Sc9 0.8035 0.9523 0.8380
Sc10 0.9523 0.8035 0.3380

- Energy relative to the elements: 97 meV/atom
- Calculated density: 5.56 g cm⁻³
- E: -6.124 eV/atom

[2]
Density functional theory data (PBE-GGA) for crystalline Tm12ThSc7 at its relaxed geometry.

Cell lengths 9.6054, 9.6054, 9.6054 Å; angles 112.91, 112.91, 112.91 degrees
Atoms (fractional coordinates):
Tm1 0.0000 0.2831 0.7169
Tm2 0.0000 0.7169 0.2831
Tm3 0.0896 0.4209 0.4209
Tm4 0.2831 0.0000 0.7169
Tm5 0.2831 0.7169 0.0000
Tm6 0.4209 0.0896 0.4209
Tm7 0.4209 0.4209 0.0896
Tm8 0.5791 0.5791 0.9104
Tm9 0.5791 0.9104 0.5791
Tm10 0.7169 0.0000 0.2831
Tm11 0.7169 0.2831 0.0000
Tm12 0.9104 0.5791 0.5791
Th1 0.0000 0.0000 0.0000
Sc1 0.1539 0.1539 0.4868
Sc2 0.1539 0.4868 0.1539
Sc3 0.4868 0.1539 0.1539
Sc4 0.5000 0.5000 0.5000
Sc5 0.5132 0.8461 0.8461
Sc6 0.8461 0.5132 0.8461
Sc7 0.8461 0.8461 0.5132

- Energy relative to the elements: 284 meV/atom
- Calculated density: 7.38 g cm⁻³
- E: -4.986 eV/atom

> The highest energy relative to the elements belongs to which entry?

Tm12ThSc7